Here is a relaxed structure of SrVN2O from Alexandria. Energies are from GGA+U.

## Properties
E_tot	-6.99	eV/atom

a b c (Å): 3.862 3.862 4.041
angles (deg): 90.00 90.00 90.00
Space group P4/mmm (No. 123)
Symmetry-distinct sites (fractional):
Sr  0.000  0.000  0.000
V  0.500  0.500  0.500
N  0.000  0.500  0.500
O  0.500  0.500  0.000